VASP calculation (PBE-GGA) on a relaxed structure of Tb2HoTh4.

As for the calculated density: 10.3 g/cm3. For the formation energy from the elements, the calculation gives 81 meV/atom. Its energy above the most stable polymorph in this dataset is 0.000 eV per atom. The spin magnetization is 0.0 μB/f.u.

The space group is Cmmm (No. 65) and the conventional cell measures 3.567, 36.011 and 3.556 Å, with angles of 90.00, 90.00 and 90.00 degrees. The asymmetric unit holds Tb at (0.000, 0.207, 0.000), Ho at (0.000, 0.500, 0.500), Th at (0.000, 0.071, 0.000) and Th at (0.000, 0.361, 0.500).

---

VASP calculation (PBE-GGA) on a relaxed structure of Cd2InSb.

As for the calculated density: 7.5 g/cm3. The value obtained for the formation energy (no corrections) is 74 meV per atom. Its energy above the most stable polymorph in this dataset is 0.036 eV per atom. The spin magnetization is 0.0 μB/f.u.

The space group is I-4m2 (No. 119) and the conventional cell measures 4.485, 4.485 and 10.204 Å, with angles of 90.00, 90.00 and 90.00 degrees. The asymmetric unit holds Cd at (0.000, 0.000, 0.000), Cd at (0.000, 0.500, 0.250), In at (0.000, 0.500, 0.750) and Sb at (0.000, 0.000, 0.500).

---

VASP calculation (PBE-GGA) on a relaxed structure of Cs12Sn3Au5.

As for the calculated density: 3.7 g/cm3. For the formation energy from the elements, the calculation gives -109 meV/atom. The spin magnetization is 5.0 μB/f.u.

The space group is Ia-3d (No. 230) and the conventional cell measures 21.936, 21.936 and 21.936 Å, with angles of 90.00, 90.00 and 90.00 degrees. The asymmetric unit holds Cs at (0.020, 0.065, 0.653), Sn at (0.000, 0.250, 0.125), Au at (0.000, 0.000, 0.000) and Au at (0.000, 0.250, 0.375).

---

VASP calculation (PBE-GGA) on a relaxed structure of PuMg2Tl2.

As for the calculated density: 8.2 g/cm3. For the formation energy from the elements, the calculation gives 94 meV/atom. Its energy above the most stable polymorph in this dataset is 0.075 eV per atom. The spin magnetization is 6.0 μB/f.u.

The space group is P-3m1 (No. 164) and the conventional cell measures 5.0951, 5.0951 and 6.2940 Å, with angles of 90.00, 90.00 and 120.00 degrees. The asymmetric unit holds Pu at (0.0000, 0.0000, 0.0000), Mg at (0.3333, 0.6667, 0.6761) and Tl at (0.3333, 0.6667, 0.2079).

---

VASP calculation (PBE-GGA) on a relaxed structure of RbMgAgSb.

As for the calculated density: 4.2 g/cm3. The value obtained for the formation energy (no corrections) is -205 meV per atom. The spin magnetization is 0.0 μB/f.u.

The space group is P4/nmm (No. 129, origin choice 2) and the conventional cell measures 4.404, 4.404 and 13.972 Å, with angles of 90.00, 90.00 and 90.00 degrees. The asymmetric unit holds Rb at (0.250, 0.250, 0.223), Mg at (0.250, 0.750, 0.500), Ag at (0.250, 0.750, 0.000) and Sb at (0.250, 0.250, 0.633).

---

VASP calculation (PBE-GGA) on a relaxed structure of PrPd4Au4.

As for the calculated density: 12.9 g/cm3. For the formation energy from the elements, the calculation gives -321 meV/atom. The spin magnetization is 0.0 μB/f.u.

The space group is P4_2/nmc (No. 137, origin choice 2) and the conventional cell measures 5.884, 5.884 and 10.064 Å, with angles of 90.00, 90.00 and 90.00 degrees. The asymmetric unit holds Pr at (0.250, 0.750, 0.250), Pd at (0.027, 0.250, 0.182) and Au at (0.013, 0.250, 0.476).

---

spin magnetization of number 6 (PrPd4Au4)? 0.0 μB/f.u.

---

spin magnetization of number 1 (Tb2HoTh4)? 0.0 μB/f.u.

---

The highest spin magnetization belongs to which entry? PuMg2Tl2